No. 1
## BaSc2W (PBE)

Data for crystalline BaSc2W at its relaxed geometry.

Values from the calculation:
The calculated volume comes out at 25.56 A^3/atom. As for the formation energy: 0.732 eV/atom. The calculation puts the total magnetization at 0.00 μB/cell. The calculation puts the energy above the most stable polymorph in this dataset at 127 kJ/mol of formula units. The calculation puts the density at 6.7 g/cm³.

CIF file:
```
data_BaSc2W
_chemical_formula_sum 'Ba1 Sc2 W1'
_space_group_name_H-M_alt 'P 4 m m'
_space_group_IT_number 99
_cell_length_a 3.0888
_cell_length_b 3.0888
_cell_length_c 10.7149
_cell_angle_alpha 90.00
_cell_angle_beta 90.00
_cell_angle_gamma 90.00
loop_
_space_group_symop_operation_xyz
'x,y,z'
'-y,x,z'
'-x,-y,z'
'y,-x,z'
'-x,y,z'
'y,x,z'
'x,-y,z'
'-y,-x,z'
loop_
_atom_site_label
_atom_site_type_symbol
_atom_site_fract_x
_atom_site_fract_y
_atom_site_fract_z
Ba1 Ba 0.0000 0.0000 0.0000
Sc1 Sc 0.0000 0.0000 0.5545
Sc2 Sc 0.5000 0.5000 0.3128
W1 W 0.5000 0.5000 0.7436
```

---

No. 2
## BaSc2W (PBE)

Data for crystalline BaSc2W at its relaxed geometry.

Values from the calculation:
The calculated volume comes out at 24.40 A^3/atom. As for the formation energy: 0.941 eV/atom. The calculation puts the total magnetization at 0.01 μB/cell. The calculation puts the energy above the most stable polymorph in this dataset at 208 kJ/mol of formula units. The calculation puts the density at 7.0 g/cm³.

CIF file:
```
data_BaSc2W
_chemical_formula_sum 'Ba4 Sc8 W4'
_space_group_name_H-M_alt 'F -4 3 m'
_space_group_IT_number 216
_space_group_name_Hall 'F -4 2 3'
_cell_length_a 7.3089
_cell_length_b 7.3089
_cell_length_c 7.3089
_cell_angle_alpha 90.00
_cell_angle_beta 90.00
_cell_angle_gamma 90.00
loop_
_atom_site_label
_atom_site_type_symbol
_atom_site_fract_x
_atom_site_fract_y
_atom_site_fract_z
Ba1 Ba 0.0000 0.0000 0.0000
Sc1 Sc 0.0000 0.0000 0.5000
Sc2 Sc 0.2500 0.2500 0.7500
W1 W 0.2500 0.2500 0.2500
```

---

No. 3
## BaSc2W (PBE)

Data for crystalline BaSc2W at its relaxed geometry.

Values from the calculation:
The calculated volume comes out at 30.25 A^3/atom. As for the formation energy: 0.681 eV/atom. The calculation puts the total magnetization at 0.63 μB/cell. The calculation puts the energy above the most stable polymorph in this dataset at 107 kJ/mol of formula units. The calculation puts the density at 5.6 g/cm³.

CIF file:
```
data_BaSc2W
_chemical_formula_sum 'Ba2 Sc4 W2'
_space_group_name_H-M_alt 'I m m 2'
_space_group_IT_number 44
_cell_length_a 3.1781
_cell_length_b 4.8055
_cell_length_c 15.8443
_cell_angle_alpha 90.00
_cell_angle_beta 90.00
_cell_angle_gamma 90.00
loop_
_space_group_symop_operation_xyz
'x,y,z'
'-x,-y,z'
'-x,y,z'
'x,-y,z'
'x+1/2,y+1/2,z+1/2'
'-x+1/2,-y+1/2,z+1/2'
'-x+1/2,y+1/2,z+1/2'
'x+1/2,-y+1/2,z+1/2'
loop_
_atom_site_label
_atom_site_type_symbol
_atom_site_fract_x
_atom_site_fract_y
_atom_site_fract_z
Ba1 Ba 0.0000 0.0000 0.0000
Sc1 Sc 0.0000 0.0000 0.6702
Sc2 Sc 0.0000 0.5000 0.8044
W1 W 0.0000 0.5000 0.3109
```

---

No. 4
## BaSc2W (PBE)

Data for crystalline BaSc2W at its relaxed geometry.

Values from the calculation:
The calculated volume comes out at 23.93 A^3/atom. As for the formation energy: 0.768 eV/atom. The calculation puts the total magnetization at 0.00 μB/cell. The calculation puts the energy above the most stable polymorph in this dataset at 141 kJ/mol of formula units. The calculation puts the density at 7.1 g/cm³.

CIF file:
```
data_BaSc2W
_chemical_formula_sum 'Ba4 Sc8 W4'
_space_group_name_H-M_alt 'F m -3 m'
_space_group_IT_number 225
_space_group_name_Hall '-F 4 2 3'
_cell_length_a 7.2615
_cell_length_b 7.2615
_cell_length_c 7.2615
_cell_angle_alpha 90.00
_cell_angle_beta 90.00
_cell_angle_gamma 90.00
loop_
_atom_site_label
_atom_site_type_symbol
_atom_site_fract_x
_atom_site_fract_y
_atom_site_fract_z
Ba1 Ba 0.0000 0.0000 0.0000
Sc1 Sc 0.2500 0.2500 0.2500
W1 W 0.0000 0.0000 0.5000
```

---

No. 5
## BaSc2W (PBE)

Data for crystalline BaSc2W at its relaxed geometry.

Values from the calculation:
The calculated volume comes out at 25.21 A^3/atom. As for the formation energy: 0.807 eV/atom. The calculation puts the total magnetization at 1.51 μB/cell. The calculation puts the energy above the most stable polymorph in this dataset at 156 kJ/mol of formula units. The calculation puts the density at 6.8 g/cm³.

CIF file:
```
data_BaSc2W
_chemical_formula_sum 'Ba3 Sc6 W3'
_space_group_name_H-M_alt 'R 3 m'
_space_group_IT_number 160
_space_group_name_Hall 'R 3 -2"'
_cell_length_a 3.2058
_cell_length_b 3.2058
_cell_length_c 33.9901
_cell_angle_alpha 90.00
_cell_angle_beta 90.00
_cell_angle_gamma 120.00
loop_
_atom_site_label
_atom_site_type_symbol
_atom_site_fract_x
_atom_site_fract_y
_atom_site_fract_z
Ba1 Ba 0.0000 0.0000 0.0000
Sc1 Sc 0.0000 0.0000 0.5160
Sc2 Sc 0.0000 0.0000 0.7678
W1 W 0.0000 0.0000 0.2486
```

---

No. 6
## BaScW4 (PBE)

Data for crystalline BaScW4 at its relaxed geometry.

Values from the calculation:
The calculated volume comes out at 20.36 A^3/atom. As for the formation energy: 0.708 eV/atom. The calculation puts the total magnetization at 0.00 μB/cell. The calculation puts the density at 12.5 g/cm³.

CIF file:
```
data_BaScW4
_chemical_formula_sum 'Ba4 Sc4 W16'
_space_group_name_H-M_alt 'F -4 3 m'
_space_group_IT_number 216
_space_group_name_Hall 'F -4 2 3'
_cell_length_a 7.8770
_cell_length_b 7.8770
_cell_length_c 7.8770
_cell_angle_alpha 90.00
_cell_angle_beta 90.00
_cell_angle_gamma 90.00
loop_
_atom_site_label
_atom_site_type_symbol
_atom_site_fract_x
_atom_site_fract_y
_atom_site_fract_z
Ba1 Ba 0.0000 0.0000 0.0000
Sc1 Sc 0.2500 0.2500 0.7500
W1 W 0.1249 0.1249 0.3751
```

---

No. 7
## BaSc2W (PBE)

Data for crystalline BaSc2W at its relaxed geometry.

Values from the calculation:
The calculated volume comes out at 28.32 A^3/atom. As for the formation energy: 0.621 eV/atom. The calculation puts the total magnetization at 0.00 μB/cell. The calculation puts the energy above the most stable polymorph in this dataset at 84 kJ/mol of formula units. The calculation puts the density at 6.0 g/cm³.

CIF file:
```
data_BaSc2W
_chemical_formula_sum 'Ba2 Sc4 W2'
_space_group_name_H-M_alt 'C 1 m 1'
_space_group_IT_number 8
_cell_length_a 9.8001
_cell_length_b 3.1105
_cell_length_c 7.4377
_cell_angle_alpha 90.00
_cell_angle_beta 92.17
_cell_angle_gamma 90.00
loop_
_space_group_symop_operation_xyz
'x,y,z'
'x,-y,z'
'x+1/2,y+1/2,z'
'x+1/2,-y+1/2,z'
loop_
_atom_site_label
_atom_site_type_symbol
_atom_site_fract_x
_atom_site_fract_y
_atom_site_fract_z
Ba1 Ba 0.0000 0.0000 0.0000
Sc1 Sc 0.2427 0.0000 0.6368
Sc2 Sc 0.4972 0.0000 0.4336
W1 W 0.2598 0.5000 0.3220
```

---

No. 8
## BaSc2W (PBE)

Data for crystalline BaSc2W at its relaxed geometry.

Values from the calculation:
The calculated volume comes out at 26.92 A^3/atom. As for the formation energy: 0.625 eV/atom. The calculation puts the total magnetization at 0.00 μB/cell. The calculation puts the energy above the most stable polymorph in this dataset at 85 kJ/mol of formula units. The calculation puts the density at 6.3 g/cm³.

CIF file:
```
data_BaSc2W
_chemical_formula_sum 'Ba2 Sc4 W2'
_space_group_name_H-M_alt 'C 1 2/m 1'
_space_group_IT_number 12
_cell_length_a 9.0148
_cell_length_b 3.1545
_cell_length_c 7.5922
_cell_angle_alpha 90.00
_cell_angle_beta 93.92
_cell_angle_gamma 90.00
loop_
_space_group_symop_operation_xyz
'x,y,z'
'-x,-y,-z'
'-x,y,-z'
'x,-y,z'
'x+1/2,y+1/2,z'
'-x+1/2,-y+1/2,-z'
'-x+1/2,y+1/2,-z'
'x+1/2,-y+1/2,z'
loop_
_atom_site_label
_atom_site_type_symbol
_atom_site_fract_x
_atom_site_fract_y
_atom_site_fract_z
Ba1 Ba 0.0000 0.0000 0.0000
Sc1 Sc 0.2343 0.0000 0.6737
W1 W 0.0000 0.5000 0.5000
```

---

No. 9
## BaSc2W (PBE)

Data for crystalline BaSc2W at its relaxed geometry.

Values from the calculation:
The calculated volume comes out at 24.25 A^3/atom. As for the formation energy: 0.921 eV/atom. The calculation puts the total magnetization at 0.00 μB/cell. The calculation puts the energy above the most stable polymorph in this dataset at 200 kJ/mol of formula units. The calculation puts the density at 7.0 g/cm³.

CIF file:
```
data_BaSc2W
_chemical_formula_sum 'Ba2 Sc4 W2'
_space_group_name_H-M_alt 'C 1 2/m 1'
_space_group_IT_number 12
_cell_length_a 6.6335
_cell_length_b 10.5395
_cell_length_c 3.0598
_cell_angle_alpha 90.00
_cell_angle_beta 114.94
_cell_angle_gamma 90.00
loop_
_space_group_symop_operation_xyz
'x,y,z'
'-x,-y,-z'
'-x,y,-z'
'x,-y,z'
'x+1/2,y+1/2,z'
'-x+1/2,-y+1/2,-z'
'-x+1/2,y+1/2,-z'
'x+1/2,-y+1/2,z'
loop_
_atom_site_label
_atom_site_type_symbol
_atom_site_fract_x
_atom_site_fract_y
_atom_site_fract_z
Ba1 Ba 0.0000 0.0000 0.0000
Sc1 Sc 0.2500 0.2500 0.5000
W1 W 0.0000 0.5000 0.0000
```

---

No. 10
## BaSc2W (PBE)

Data for crystalline BaSc2W at its relaxed geometry.

Values from the calculation:
The calculated volume comes out at 28.16 A^3/atom. As for the formation energy: 0.573 eV/atom. The calculation puts the total magnetization at 0.00 μB/cell. The calculation puts the energy above the most stable polymorph in this dataset at 65 kJ/mol of formula units. The calculation puts the density at 6.1 g/cm³.

CIF file:
```
data_BaSc2W
_chemical_formula_sum 'Ba1 Sc2 W1'
_space_group_name_H-M_alt 'P 4 m m'
_space_group_IT_number 99
_cell_length_a 3.7121
_cell_length_b 3.7121
_cell_length_c 8.1738
_cell_angle_alpha 90.00
_cell_angle_beta 90.00
_cell_angle_gamma 90.00
loop_
_space_group_symop_operation_xyz
'x,y,z'
'-y,x,z'
'-x,-y,z'
'y,-x,z'
'-x,y,z'
'y,x,z'
'x,-y,z'
'-y,-x,z'
loop_
_atom_site_label
_atom_site_type_symbol
_atom_site_fract_x
_atom_site_fract_y
_atom_site_fract_z
Ba1 Ba 0.0000 0.0000 0.0000
Sc1 Sc 0.0000 0.0000 0.5880
Sc2 Sc 0.5000 0.5000 0.3786
W1 W 0.5000 0.5000 0.7119
```